(1)
# RbPaAg2I8 PBE-GGA optimized geometry
# Total magnetization = 0.0 μB per formula unit
# Formation energy from raw total energies = -880 kJ/mol of formula units
data_RbPaAg2I8
_chemical_formula_sum 'Rb2 Pa2 Ag4 I16'
_cell_length_a 11.8118
_cell_length_b 8.9539
_cell_length_c 11.5262
_cell_angle_alpha 90.00
_cell_angle_beta 93.50
_cell_angle_gamma 90.00
_space_group_name_H-M_alt 'C 1 2/m 1'
_space_group_IT_number 12
loop_
_space_group_symop_operation_xyz
'x,y,z'
'-x,-y,-z'
'-x,y,-z'
'x,-y,z'
'x+1/2,y+1/2,z'
'-x+1/2,-y+1/2,-z'
'-x+1/2,y+1/2,-z'
'x+1/2,-y+1/2,z'
loop_
_atom_site_label
_atom_site_fract_x
_atom_site_fract_y
_atom_site_fract_z
Rb1 0.0000 0.0000 0.0000
Pa1 0.0000 0.0000 0.5000
Ag1 0.1957 0.0000 0.7329
I1 0.0124 0.2308 0.6853
I2 0.1931 0.5000 0.0590
I3 0.2490 0.5000 0.5038

***

(2)
# Rb2PaAg3I12 PBE-GGA optimized geometry
# Total magnetization = 0.0 μB per formula unit
# Formation energy from raw total energies = -1152 kJ/mol of formula units
data_Rb2PaAg3I12
_chemical_formula_sum 'Rb6 Pa3 Ag9 I36'
_cell_length_a 10.3277
_cell_length_b 10.3277
_cell_length_c 31.5366
_cell_angle_alpha 90.00
_cell_angle_beta 90.00
_cell_angle_gamma 120.00
_space_group_name_H-M_alt 'R -3 m'
_space_group_IT_number 166
_space_group_name_Hall '-R 3 2"'
loop_
_atom_site_label
_atom_site_fract_x
_atom_site_fract_y
_atom_site_fract_z
Rb1 0.0000 0.0000 0.0707
Pa1 0.0000 0.0000 0.5000
Ag1 0.0000 0.5000 0.0000
I1 0.0588 0.5294 0.3533
I2 0.0618 0.5309 0.1131

***

(3)
# Pa2Ag2S5I2 PBE-GGA optimized geometry
# Total magnetization = 0.3 μB per formula unit
# Formation energy from raw total energies = -1002 kJ/mol of formula units
data_Pa2Ag2S5I2
_chemical_formula_sum 'Pa4 Ag4 S10 I4'
_cell_length_a 5.3095
_cell_length_b 5.3095
_cell_length_c 23.7333
_cell_angle_alpha 90.00
_cell_angle_beta 90.00
_cell_angle_gamma 90.00
_space_group_name_H-M_alt 'I 4/m m m'
_space_group_IT_number 139
_space_group_name_Hall '-I 4 2'
loop_
_atom_site_label
_atom_site_fract_x
_atom_site_fract_y
_atom_site_fract_z
Pa1 0.0000 0.0000 0.1087
Ag1 0.0000 0.0000 0.3722
S1 0.0000 0.0000 0.0000
S2 0.0000 0.5000 0.1111
I1 0.0000 0.0000 0.2325

***

(4)
# Ag2PbI PBE-GGA optimized geometry
# Total magnetization = 0.0 μB per formula unit
# Formation energy from raw total energies = -9 kJ/mol of formula units
# Energy above the lowest structure with this stoichiometry = 0.037 eV/atom
data_Ag2PbI
_chemical_formula_sum 'Ag4 Pb2 I2'
_cell_length_a 4.0236
_cell_length_b 6.2654
_cell_length_c 9.4524
_cell_angle_alpha 103.54
_cell_angle_beta 102.26
_cell_angle_gamma 90.13
_space_group_name_H-M_alt 'P -1'
_space_group_IT_number 2
loop_
_space_group_symop_operation_xyz
'x,y,z'
'-x,-y,-z'
loop_
_atom_site_label
_atom_site_fract_x
_atom_site_fract_y
_atom_site_fract_z
Ag1 0.0012 0.2361 0.0030
Ag2 0.4242 0.4329 0.8471
Pb1 0.3958 0.9079 0.7898
I1 0.1900 0.7047 0.3813